Below is crystalline Sr2ZnBi at its relaxed geometry, with properties calculated at the PBE level.

```
data_Sr2ZnBi
_space_group_name_H-M_alt 'F m -3 m'
_space_group_IT_number 225
_space_group_name_Hall '-F 4 2 3'
_cell_length_a 8.135
_cell_length_b 8.135
_cell_length_c 8.135
_cell_angle_alpha 90.00
_cell_angle_beta 90.00
_cell_angle_gamma 90.00
loop_
_atom_site_label
_atom_site_fract_x
_atom_site_fract_y
_atom_site_fract_z
_atom_site_occupancy
Sr1 0.250 0.250 0.250 1
Zn1 0.000 0.000 0.000 1
Bi1 0.000 0.000 0.500 1
```

Properties
- Calculated total energy: -42.46 eV/cell
- Energy relative to the lowest polymorph listed for this composition: 24 meV per atom
- DOS(E_F): 3.8 states/eV/f.u.
- Spin magnetization: 0.0 μB per cell